H2W2O7 after structural relaxation. Source: Alexandria, functional GGA+U.

```
data_H2W2O7
_chemical_formula_sum 'H4 W4 O14'
_cell_length_a 7.123
_cell_length_b 7.123
_cell_length_c 7.123
_cell_angle_alpha 119.35
_cell_angle_beta 94.37
_cell_angle_gamma 115.70
_space_group_name_H-M_alt 'P 1'
_space_group_IT_number 1
_space_group_name_Hall 'P 1'
loop_
_atom_site_label
_atom_site_type_symbol
_atom_site_fract_x
_atom_site_fract_y
_atom_site_fract_z
_atom_site_occupancy
H1 H 0.056 0.250 0.306 1
H2 H 0.509 0.921 0.088 1
H3 H 0.834 0.421 0.912 1
H4 H 0.944 0.750 0.694 1
W1 W 0.029 0.016 0.513 1
W2 W 0.481 0.481 0.000 1
W3 W 0.481 0.981 0.500 1
W4 W 0.502 0.516 0.487 1
O1 O 0.153 0.326 0.829 1
O2 O 0.153 0.824 0.327 1
O3 O 0.164 0.257 0.407 1
O4 O 0.302 0.085 0.717 1
O5 O 0.368 0.585 0.283 1
O6 O 0.456 0.813 0.143 1
O7 O 0.497 0.324 0.171 1
O8 O 0.497 0.826 0.673 1
O9 O 0.539 0.247 0.461 1
O10 O 0.539 0.578 0.792 1
O11 O 0.670 0.313 0.857 1
O12 O 0.786 0.078 0.539 1
O13 O 0.786 0.747 0.208 1
O14 O 0.851 0.757 0.593 1
```

Calculated values
The value obtained for the excess energy over the best structure of this formula in the dataset is 0.209 eV/atom. As for the magnetic moment: 0.00 μB per formula unit. The value obtained for the electronic total energy is -6.550 eV per atom. Its space group is Ima2, No. 46.


H2W2O7 after structural relaxation. Source: Alexandria, functional GGA+U.

```
data_H2W2O7
_chemical_formula_sum 'H4 W4 O14'
_cell_length_a 7.354
_cell_length_b 7.354
_cell_length_c 7.354
_cell_angle_alpha 119.71
_cell_angle_beta 119.71
_cell_angle_gamma 90.50
_space_group_name_H-M_alt 'P 1'
_space_group_IT_number 1
_space_group_name_Hall 'P 1'
loop_
_atom_site_label
_atom_site_type_symbol
_atom_site_fract_x
_atom_site_fract_y
_atom_site_fract_z
_atom_site_occupancy
H1 H 0.283 0.533 0.750 1
H2 H 0.467 0.717 0.750 1
H3 H 0.533 0.283 0.250 1
H4 H 0.717 0.467 0.250 1
W1 W 0.000 0.000 0.000 1
W2 W 0.000 0.000 0.500 1
W3 W 0.000 0.500 0.000 1
W4 W 0.500 0.000 0.500 1
O1 O 0.056 0.306 0.113 1
O2 O 0.056 0.944 0.750 1
O3 O 0.062 0.312 0.750 1
O4 O 0.306 0.056 0.613 1
O5 O 0.306 0.694 0.250 1
O6 O 0.312 0.062 0.250 1
O7 O 0.375 0.625 0.750 1
O8 O 0.625 0.375 0.250 1
O9 O 0.688 0.938 0.750 1
O10 O 0.694 0.306 0.750 1
O11 O 0.694 0.944 0.387 1
O12 O 0.938 0.688 0.250 1
O13 O 0.944 0.056 0.250 1
O14 O 0.944 0.694 0.887 1
```

Calculated values
The value obtained for the excess energy over the best structure of this formula in the dataset is 0.114 eV/atom. As for the magnetic moment: 0.10 μB per formula unit. The value obtained for the electronic total energy is -6.645 eV per atom. Its space group is I4_1/amd, No. 141.


HWO after structural relaxation. Source: Alexandria, functional GGA+U.

```
data_HWO
_chemical_formula_sum 'H2 W2 O2'
_cell_length_a 3.753
_cell_length_b 3.087
_cell_length_c 7.034
_cell_angle_alpha 90.00
_cell_angle_beta 90.00
_cell_angle_gamma 90.00
_space_group_name_H-M_alt 'P 1'
_space_group_IT_number 1
_space_group_name_Hall 'P 1'
loop_
_atom_site_label
_atom_site_type_symbol
_atom_site_fract_x
_atom_site_fract_y
_atom_site_fract_z
_atom_site_occupancy
H1 H 0.000 0.000 0.000 1
H2 H 0.000 0.500 0.500 1
W1 W 0.500 0.000 0.011 1
W2 W 0.500 0.500 0.511 1
O1 O 0.500 0.000 0.713 1
O2 O 0.500 0.500 0.213 1
```

Calculated values
The value obtained for the excess energy over the best structure of this formula in the dataset is 0.131 eV/atom. As for the magnetic moment: 3.00 μB per formula unit. The value obtained for the electronic total energy is -5.575 eV per atom. Its space group is Amm2, No. 38.


H2W2O7 after structural relaxation. Source: Alexandria, functional GGA+U.

```
data_H2W2O7
_chemical_formula_sum 'H4 W4 O14'
_cell_length_a 6.904
_cell_length_b 7.067
_cell_length_c 7.313
_cell_angle_alpha 110.76
_cell_angle_beta 93.10
_cell_angle_gamma 107.25
_space_group_name_H-M_alt 'P 1'
_space_group_IT_number 1
_space_group_name_Hall 'P 1'
loop_
_atom_site_label
_atom_site_type_symbol
_atom_site_fract_x
_atom_site_fract_y
_atom_site_fract_z
_atom_site_occupancy
H1 H 0.000 0.000 0.000 1
H2 H 0.017 0.738 0.525 1
H3 H 0.322 0.517 0.033 1
H4 H 0.584 0.251 0.746 1
W1 W 0.081 0.328 0.350 1
W2 W 0.607 0.826 0.991 1
W3 W 0.626 0.463 0.494 1
W4 W 0.739 0.964 0.539 1
O1 O 0.138 0.407 0.148 1
O2 O 0.143 0.577 0.555 1
O3 O 0.349 0.282 0.394 1
O4 O 0.415 0.930 0.959 1
O5 O 0.438 0.543 0.958 1
O6 O 0.524 0.670 0.456 1
O7 O 0.609 0.201 0.609 1
O8 O 0.622 0.908 0.268 1
O9 O 0.703 0.613 0.766 1
O10 O 0.740 0.993 0.799 1
O11 O 0.778 0.323 0.326 1
O12 O 0.874 0.734 0.485 1
O13 O 0.927 0.995 0.110 1
O14 O 0.987 0.143 0.526 1
```

Calculated values
The value obtained for the excess energy over the best structure of this formula in the dataset is 0.140 eV/atom. As for the magnetic moment: 0.00 μB per formula unit. The value obtained for the electronic total energy is -6.620 eV per atom. Its space group is P1, No. 1.


HW2O6 after structural relaxation. Source: Alexandria, functional GGA+U.

```
data_HW2O6
_chemical_formula_sum 'H1 W2 O6'
_cell_length_a 5.472
_cell_length_b 5.472
_cell_length_c 5.472
_cell_angle_alpha 119.88
_cell_angle_beta 90.27
_cell_angle_gamma 119.81
_space_group_name_H-M_alt 'P 1'
_space_group_IT_number 1
_space_group_name_Hall 'P 1'
loop_
_atom_site_label
_atom_site_type_symbol
_atom_site_fract_x
_atom_site_fract_y
_atom_site_fract_z
_atom_site_occupancy
H1 H 0.000 0.000 0.000 1
W1 W 0.263 0.513 0.750 1
W2 W 0.763 0.513 0.250 1
O1 O 0.491 0.491 0.000 1
O2 O 0.495 0.493 0.500 1
O3 O 0.495 0.995 0.002 1
O4 O 0.994 0.493 0.998 1
O5 O 0.994 0.494 0.500 1
O6 O 0.994 0.995 0.500 1
```

Calculated values
As for the magnetic moment: 1.00 μB per formula unit. The value obtained for the electronic total energy is -6.777 eV per atom. Its space group is Imm2, No. 44.


H2W2O7 after structural relaxation. Source: Alexandria, functional GGA+U.

```
data_H2W2O7
_chemical_formula_sum 'H4 W4 O14'
_cell_length_a 7.068
_cell_length_b 7.068
_cell_length_c 7.068
_cell_angle_alpha 118.07
_cell_angle_beta 118.07
_cell_angle_gamma 93.37
_space_group_name_H-M_alt 'P 1'
_space_group_IT_number 1
_space_group_name_Hall 'P 1'
loop_
_atom_site_label
_atom_site_type_symbol
_atom_site_fract_x
_atom_site_fract_y
_atom_site_fract_z
_atom_site_occupancy
H1 H 0.041 0.291 0.750 1
H2 H 0.291 0.041 0.250 1
H3 H 0.709 0.959 0.750 1
H4 H 0.959 0.709 0.250 1
W1 W 0.000 0.500 0.500 1
W2 W 0.500 0.000 0.000 1
W3 W 0.500 0.500 0.000 1
W4 W 0.500 0.500 0.500 1
O1 O 0.142 0.392 0.750 1
O2 O 0.157 0.407 0.315 1
O3 O 0.157 0.843 0.750 1
O4 O 0.375 0.625 0.750 1
O5 O 0.392 0.142 0.250 1
O6 O 0.407 0.157 0.815 1
O7 O 0.407 0.593 0.250 1
O8 O 0.593 0.407 0.750 1
O9 O 0.593 0.843 0.185 1
O10 O 0.608 0.858 0.750 1
O11 O 0.625 0.375 0.250 1
O12 O 0.843 0.157 0.250 1
O13 O 0.843 0.593 0.685 1
O14 O 0.858 0.608 0.250 1
```

Calculated values
The value obtained for the excess energy over the best structure of this formula in the dataset is 0.385 eV/atom. As for the magnetic moment: 0.00 μB per formula unit. The value obtained for the electronic total energy is -6.374 eV per atom. Its space group is I4_1/amd, No. 141.